# Ho3SiSn (PBE, optimized geometry)
# * formation energy (no corrections): -0.56 eV/atom
data_Ho3SiSn
_chemical_formula_sum 'Ho24 Si8 Sn8'
_cell_length_a 12.511
_cell_length_b 10.894
_cell_length_c 8.097
_cell_angle_alpha 90.00
_cell_angle_beta 90.01
_cell_angle_gamma 90.00
_space_group_name_H-M_alt 'C 1 2/c 1'
_space_group_IT_number 15
_space_group_name_Hall '-C 2yc'
loop_
_atom_site_label
_atom_site_fract_x
_atom_site_fract_y
_atom_site_fract_z
Ho1 0.105 0.092 0.415
Ho2 0.106 0.409 0.585
Ho3 0.250 0.178 0.804
Si1 0.249 0.059 0.127
Sn1 0.000 0.158 0.750
Sn2 0.000 0.343 0.250



DFT (PBE) results for a relaxed structure of Sr5Tl2H.

The structure in CIF format:
```
data_Sr5Tl2H
_chemical_formula_sum 'Sr10 Tl4 H2'
_cell_length_a 8.013
_cell_length_b 8.013
_cell_length_c 9.316
_cell_angle_alpha 90.00
_cell_angle_beta 90.00
_cell_angle_gamma 90.00
_space_group_name_H-M_alt 'I 4 m m'
_space_group_IT_number 107
_space_group_name_Hall 'I 4 -2'
loop_
_atom_site_label
_atom_site_fract_x
_atom_site_fract_y
_atom_site_fract_z
Sr1 0.000 0.000 0.000
Sr2 0.242 0.242 0.260
Tl1 0.000 0.500 0.011
H1 0.000 0.000 0.255
```



# Mg5Tl2In6 (PBE, optimized geometry)
# * DFT formation energy: 0.1 eV per formula unit
data_Mg5Tl2In6
_chemical_formula_sum 'Mg10 Tl4 In12'
_cell_length_a 11.793
_cell_length_b 14.151
_cell_length_c 4.059
_cell_angle_alpha 90.00
_cell_angle_beta 90.00
_cell_angle_gamma 90.00
_space_group_name_H-M_alt 'P b a m'
_space_group_IT_number 55
_space_group_name_Hall '-P 2 2ab'
loop_
_atom_site_label
_atom_site_fract_x
_atom_site_fract_y
_atom_site_fract_z
Mg1 0.000 0.000 0.000
Mg2 0.118 0.243 0.000
Mg3 0.119 0.600 0.000
Tl1 0.099 0.775 0.500
In1 0.084 0.416 0.500
In2 0.178 0.087 0.500
In3 0.223 0.914 0.000



# Li5Cl (PBE, optimized geometry)
# * polymorph energy (0 for the lowest one): 80 meV/atom
# * formation energy (no corrections): -0.39 eV/atom
data_Li5Cl
_chemical_formula_sum 'Li10 Cl2'
_cell_length_a 3.569
_cell_length_b 14.184
_cell_length_c 4.584
_cell_angle_alpha 90.00
_cell_angle_beta 90.00
_cell_angle_gamma 90.00
_space_group_name_H-M_alt 'C m m m'
_space_group_IT_number 65
_space_group_name_Hall '-C 2 2'
loop_
_atom_site_label
_atom_site_fract_x
_atom_site_fract_y
_atom_site_fract_z
Li1 0.000 0.000 0.000
Li2 0.000 0.146 0.500
Li3 0.000 0.317 0.000
Cl1 0.000 0.500 0.500



# CaNd3Tc (PBE, optimized geometry)
# * DFT formation energy: 0.5 eV per formula unit
data_CaNd3Tc
_chemical_formula_sum 'Ca1 Nd3 Tc1'
_cell_length_a 5.578
_cell_length_b 5.578
_cell_length_c 5.578
_cell_angle_alpha 90.00
_cell_angle_beta 90.00
_cell_angle_gamma 90.00
_space_group_name_H-M_alt 'P m -3 m'
_space_group_IT_number 221
_space_group_name_Hall '-P 4 2 3'
loop_
_atom_site_label
_atom_site_fract_x
_atom_site_fract_y
_atom_site_fract_z
Ca1 0.000 0.000 0.000
Nd1 0.000 0.500 0.500
Tc1 0.500 0.500 0.500



# ScFe2CuAu (PBE, optimized geometry)
# * DFT formation energy: 4.5 eV per formula unit
data_ScFe2CuAu
_chemical_formula_sum 'Sc1 Fe2 Cu1 Au1'
_cell_length_a 4.654
_cell_length_b 4.654
_cell_length_c 4.638
_cell_angle_alpha 90.00
_cell_angle_beta 90.00
_cell_angle_gamma 90.00
_space_group_name_H-M_alt 'P 4/m m m'
_space_group_IT_number 123
_space_group_name_Hall '-P 4 2'
loop_
_atom_site_label
_atom_site_fract_x
_atom_site_fract_y
_atom_site_fract_z
Sc1 0.000 0.000 0.000
Fe1 0.000 0.500 0.500
Cu1 0.500 0.500 0.000
Au1 0.500 0.500 0.500



Number 1: E_tot -0.19084 Ha/atom, magnetic moment 0.00 μB per cell. Number 2: E_tot -0.08184 Ha/atom, magnetic moment 1.52 μB per cell. Number 3: E_tot -0.08201 Ha/atom, magnetic moment 0.00 μB per cell. Number 4: E_tot -0.08410 Ha/atom, magnetic moment 1.27 μB per cell. Number 5: E_tot -0.19210 Ha/atom, magnetic moment 0.00 μB per cell. Number 6: E_tot -0.19191 Ha/atom, magnetic moment 5.21 μB per cell.